MgTeWF2 | GGA+U | relaxed

For the total energy, the calculation gives -4.3404 eV per atom.

The structure belongs to space group P4/mmm (No. 123); the cell edges are 4.173, 4.173 and 7.003 Å and the angles 90.00°, 90.00° and 90.00°. The asymmetric unit holds Mg at (0.000, 0.000, 0.000), Te at (0.500, 0.500, 0.000), W at (0.000, 0.000, 0.500) and F at (0.000, 0.500, 0.500).